Compound: TlAuBr2
Source: Alexandria
Functional: PBEsol
Structure: optimized geometry

Cell: 5.203 5.203 8.026 Å, 71.09 71.09 60.00°
Sites, in units of the cell vectors:
Br: 0.106 0.106 0.681
Tl: 0.500 0.500 0.500
Au: 0.000 0.000 0.000
Br: 0.894 0.894 0.319

Summary:
Space-group type: R-3m
Formation energy (no corrections) (eV/atom): -0.326
Magnetization (Bohr magnetons per cell): 0.00
D(E_F) (states/eV/atom): 0.0000
Offset from the most stable computed form (kJ/mol of formula units): 0